Li2MoO5 PBE with a Hubbard U optimized geometry; crystal system = orthorhombic; raw total energy = -0.440 Ry/atom; total magnetization = 0.109 μB per cell
1.0
1.964 -5.299 0.000
1.964 5.299 0.000
0.000 0.000 10.332
Li Mo O
4 2 10
Direct
0.221 0.779 0.591
0.221 0.779 0.909
0.779 0.221 0.091
0.779 0.221 0.409
0.122 0.878 0.250
0.878 0.122 0.750
0.053 0.947 0.677
0.053 0.947 0.823
0.216 0.784 0.101
0.216 0.784 0.399
0.369 0.631 0.750
0.631 0.369 0.250
0.784 0.216 0.601
0.784 0.216 0.899
0.947 0.053 0.177
0.947 0.053 0.323